Entry a
4
Lattice="3.363 0.000 0.047 0.000 5.387 -0.001 -1.617 -2.695 5.257" Properties=species:S:1:pos:R:3 comment="CdIn2Hg | the Alexandria database | GGA-PBEsol | relaxed" rho_g_cm3=9.4 space_group="No. 12" dos_at_fermi_per_ev_cell=1.56 pbc="T T T"
In 1.715 2.692 2.648
In 0.031 -0.001 2.655
Cd 1.682 0.000 0.023
Hg 3.363 2.694 0.046

---

Entry b
4
Lattice="4.666 0.000 0.000 0.000 4.666 0.000 -2.333 -2.333 4.310" Properties=species:S:1:pos:R:3 comment="CdIn2Hg | the Alexandria database | GGA-PBEsol | relaxed" rho_g_cm3=9.6 space_group="No. 119" dos_at_fermi_per_ev_cell=1.64 pbc="T T T"
Cd 2.333 2.333 0.000
Hg 0.000 2.333 2.155
In 2.333 0.000 2.155
In 0.000 0.000 0.000

---

Entry c
4
Lattice="3.389 0.000 0.000 0.000 5.390 0.000 -1.695 -2.695 5.227" Properties=species:S:1:pos:R:3 comment="CdIn2Hg | the Alexandria database | GGA-PBEsol | relaxed" rho_g_cm3=9.4 space_group="No. 44" dos_at_fermi_per_ev_cell=1.62 pbc="T T T"
Cd 1.695 2.695 0.065
In 1.695 2.695 5.159
In 1.695 0.000 2.680
Hg 0.000 2.695 2.552

---

The relative energies come out as entry a 13; entry b 0; entry c 7, with values in meV per atom.

---

Entry a
4
Lattice="3.322 0.000 0.248 0.000 5.434 0.000 -0.476 0.000 5.275" Properties=species:S:1:pos:R:3 comment="CdIn2Hg | the Alexandria database | GGA-PBEsol | relaxed" rho_g_cm3=9.4 space_group="No. 10" dos_at_fermi_per_ev_cell=1.72 pbc="T T T"
Cd 1.661 2.717 0.124
In 0.715 0.000 1.382
In 2.131 0.000 4.141
Hg -0.238 2.717 2.637

---

Entry b
4
Lattice="3.204 0.000 0.000 0.000 3.204 0.000 0.000 0.000 9.198" Properties=species:S:1:pos:R:3 comment="CdIn2Hg | the Alexandria database | GGA-PBEsol | relaxed" rho_g_cm3=9.5 space_group="No. 123" dos_at_fermi_per_ev_cell=1.67 pbc="T T T"
Cd 1.602 1.602 0.000
In 0.000 0.000 6.920
In 0.000 0.000 2.278
Hg 1.602 1.602 4.599

---

Entry c
4
Lattice="-0.551 4.641 -2.132 -3.202 0.641 -3.965 -4.377 2.613 0.631" Properties=species:S:1:pos:R:3 comment="CdIn2Hg | the Alexandria database | GGA-PBEsol | relaxed" rho_g_cm3=9.4 space_group="No. 216" dos_at_fermi_per_ev_cell=1.96 pbc="T T T"
Hg -2.033 1.974 -1.366
In 0.000 0.000 0.000
In -6.098 5.921 -4.099
Cd -4.065 3.947 -2.733

---

The relative energies come out as entry a 11; entry b 0; entry c 27, with values in meV per atom.

---

Entry a
4
Lattice="3.197 0.057 0.098 -0.981 5.762 0.124 -0.981 -2.712 5.085" Properties=species:S:1:pos:R:3 comment="CdIn2Hg | the Alexandria database | GGA-PBEsol | relaxed" rho_g_cm3=9.4 space_group="No. 12" dos_at_fermi_per_ev_cell=1.63 pbc="T T T"
In -0.491 2.881 0.062
In -0.491 -1.356 2.543
Hg 0.617 1.553 2.653
Cd 1.598 0.029 0.049

---

Entry b
4
Lattice="-0.258 3.221 0.441 -2.591 1.602 -1.164 -5.906 0.002 8.580" Properties=species:S:1:pos:R:3 comment="CdIn2Hg | the Alexandria database | GGA-PBEsol | relaxed" rho_g_cm3=9.5 space_group="No. 160" dos_at_fermi_per_ev_cell=1.68 pbc="T T T"
In -6.524 3.633 5.817
In -2.893 4.809 -0.645
Hg -2.226 1.194 2.030
Cd -4.339 2.425 3.860

---

The relative energies come out as entry a 20; entry b 0, with values in meV per atom.

---

Entry a
4
Lattice="-1.888 -2.360 1.406 1.185 -2.885 -3.250 4.891 -1.865 3.439" Properties=species:S:1:pos:R:3 comment="CdIn2Hg | the Alexandria database | GGA-PBEsol | relaxed" rho_g_cm3=9.6 space_group="No. 25" dos_at_fermi_per_ev_cell=1.53 pbc="T T T"
In 0.899 -3.099 -0.043
In 4.869 -1.856 3.423
Hg 3.293 -4.012 1.640
Cd 2.464 -0.939 1.733

---

Entry b
8
Lattice="4.304 0.004 0.027 0.004 4.304 0.027 -2.088 -2.088 10.543" Properties=species:S:1:pos:R:3 comment="CdIn2Hg | the Alexandria database | GGA-PBEsol | relaxed" rho_g_cm3=9.2 space_group="No. 9" dos_at_fermi_per_ev_cell=3.33 pbc="T T T"
In -1.004 -0.999 7.911
In 1.153 1.154 7.944
In 1.124 3.269 2.666
In 3.273 1.121 2.672
Cd 2.167 0.002 5.297
Cd 0.033 0.048 10.569
Hg 4.272 4.293 0.056
Hg 0.020 2.150 5.301

---

The relative energies come out as entry a 0; entry b 20, with values in meV per atom.

---

Entry a
4
Lattice="-2.710 -2.228 -3.089 -0.748 -3.405 3.113 -1.706 4.932 1.475" Properties=species:S:1:pos:R:3 comment="CdIn2Hg | the Alexandria database | GGA-PBEsol | relaxed" rho_g_cm3=9.6 space_group="No. 139" dos_at_fermi_per_ev_cell=1.75 pbc="T T T"
Cd -1.729 -2.817 0.012
In -2.092 -0.645 2.300
In -3.072 -0.057 -0.801
Hg 0.000 0.000 0.000

---

Entry b
4
Lattice="-3.069 0.900 -1.023 -2.171 -2.776 4.069 0.255 4.276 3.053" Properties=species:S:1:pos:R:3 comment="CdIn2Hg | the Alexandria database | GGA-PBEsol | relaxed" rho_g_cm3=9.5 space_group="No. 6" dos_at_fermi_per_ev_cell=1.76 pbc="T T T"
In -0.369 0.267 -0.014
In -2.950 0.089 2.047
Cd -1.776 2.878 1.016
Hg -1.297 1.755 4.065

---

Entry c
4
Lattice="5.145 0.000 0.000 2.572 4.456 0.000 2.572 1.485 4.201" Properties=species:S:1:pos:R:3 comment="CdIn2Hg | the Alexandria database | GGA-PBEsol | relaxed" rho_g_cm3=9.4 space_group="No. 225" dos_at_fermi_per_ev_cell=1.76 pbc="T T T"
Hg 5.145 2.970 2.100
Cd 0.000 0.000 0.000
In 2.572 1.485 1.050
In 7.717 4.456 3.151

---

The relative energies come out as entry a 0; entry b 7; entry c 18, with values in meV per atom.

---

Entry a
4
Lattice="3.200 0.006 0.102 1.605 2.768 0.102 1.936 1.118 10.744" Properties=species:S:1:pos:R:3 comment="CdIn2Hg | the Alexandria database | GGA-PBEsol | relaxed" rho_g_cm3=9.6 space_group="No. 12" dos_at_fermi_per_ev_cell=1.47 pbc="T T T"
Hg 4.804 2.774 0.205
Cd 3.372 1.947 5.473
In 1.764 1.019 2.745
In 4.977 2.874 8.203

---

Entry b
4
Lattice="3.414 0.000 0.000 0.000 5.434 -0.130 -1.707 -0.985 5.085" Properties=species:S:1:pos:R:3 comment="CdIn2Hg | the Alexandria database | GGA-PBEsol | relaxed" rho_g_cm3=9.6 space_group="No. 8" dos_at_fermi_per_ev_cell=1.63 pbc="T T T"
Cd 0.000 1.737 4.983
Hg 1.707 0.863 2.552
In 0.000 3.540 2.402
In 0.000 0.041 0.037

---

The relative energies come out as entry a 8; entry b 0, with values in meV per atom.

---

Entry a
10
Lattice="3.164 0.000 0.000 0.000 8.782 0.000 0.000 0.000 8.782" Properties=species:S:1:pos:R:3 comment="Cd2In2Hg | the Alexandria database | GGA-PBEsol | relaxed" rho_g_cm3=8.9 space_group="No. 127" dos_at_fermi_per_ev_cell=3.63 pbc="T T T"
Cd 1.582 5.477 7.696
Cd 1.582 7.696 3.305
Cd 1.582 3.305 1.086
Cd 1.582 1.086 5.477
Hg 0.000 0.000 0.000
Hg 0.000 4.391 4.391
In 0.000 5.932 1.541
In 0.000 7.241 5.932
In 0.000 2.850 7.241
In 0.000 1.541 2.850

---

Entry b
5
Lattice="4.140 0.000 0.000 0.000 4.140 0.000 -2.070 -2.070 7.334" Properties=species:S:1:pos:R:3 comment="Cd2In2Hg | the Alexandria database | GGA-PBEsol | relaxed" rho_g_cm3=8.7 space_group="No. 139" dos_at_fermi_per_ev_cell=2.00 pbc="T T T"
Cd 0.000 2.070 3.667
Cd 2.070 0.000 3.667
Hg 0.000 0.000 0.000
In 0.000 0.000 5.883
In 2.070 2.070 1.451

---

The relative energies come out as entry a 0; entry b 27, with values in meV per atom.

---

Entry a
3
Lattice="-2.135 -1.797 1.108 1.891 -0.926 2.141 -1.735 5.747 1.911" Properties=species:S:1:pos:R:3 comment="CdHgIr | the Alexandria database | GGA-PBEsol | relaxed" rho_g_cm3=15.7 space_group="No. 107" dos_at_fermi_per_ev_cell=1.76 pbc="T T T"
Ir -1.245 2.940 2.370
Hg -0.781 0.195 2.879
Cd -1.932 2.914 5.071

---

Entry b
3
Lattice="-0.372 2.163 1.977 -2.044 -0.467 -2.081 -3.326 -4.475 4.270" Properties=species:S:1:pos:R:3 comment="CdHgIr | the Alexandria database | GGA-PBEsol | relaxed" rho_g_cm3=15.8 space_group="No. 156" dos_at_fermi_per_ev_cell=1.24 pbc="T T T"
Cd -0.052 -0.071 0.067
Ir -2.025 -0.188 2.031
Hg -3.664 -2.521 2.068

---

The relative energies come out as entry a 0; entry b 16, with values in meV per atom.

---

Entry a
4
Lattice="-2.182 -1.992 0.271 -0.401 -2.056 -2.101 5.178 -7.324 4.085" Properties=species:S:1:pos:R:3 comment="Cd2HgIr | the Alexandria database | GGA-PBEsol | relaxed" rho_g_cm3=13.9 space_group="No. 166" dos_at_fermi_per_ev_cell=2.03 pbc="T T T"
Ir 0.000 0.000 0.000
Cd 2.083 -8.665 1.798
Cd 0.512 -2.707 0.457
Hg 1.297 -5.686 1.128

---

Entry b
4
Lattice="-2.875 1.564 2.521 0.603 -3.129 2.629 2.932 2.218 1.968" Properties=species:S:1:pos:R:3 comment="Cd2HgIr | the Alexandria database | GGA-PBEsol | relaxed" rho_g_cm3=14.4 space_group="No. 123" dos_at_fermi_per_ev_cell=1.84 pbc="T T T"
Hg 0.330 0.326 3.559
Cd -1.437 0.782 1.260
Cd 0.301 -1.565 1.315
Ir 1.466 1.109 0.984

---

The relative energies come out as entry a 35; entry b 0, with values in meV per atom.

---

Entry a
10
Lattice="-0.150 -2.690 -1.762 8.709 0.355 -1.281 1.265 -4.826 7.261" Properties=species:S:1:pos:R:3 comment="KCd2Hg2 | the Alexandria database | GGA-PBEsol | relaxed" rho_g_cm3=8.8 space_group="No. 127" dos_at_fermi_per_ev_cell=3.18 pbc="T T T"
K 0.000 0.000 0.000
K 4.987 -2.235 2.990
Cd 6.603 -5.257 4.525
Cd 7.849 -2.767 0.618
Cd 1.976 -4.394 3.600
Cd 3.221 -1.904 -0.307
Hg 8.209 -2.846 3.649
Hg 5.872 -0.503 0.269
Hg 4.102 -3.968 5.710
Hg 1.765 -1.625 2.331

---

Entry b
5
Lattice="4.646 0.000 0.000 0.000 4.646 0.000 -2.323 -2.323 6.320" Properties=species:S:1:pos:R:3 comment="KCd2Hg2 | the Alexandria database | GGA-PBEsol | relaxed" rho_g_cm3=8.1 space_group="No. 139" dos_at_fermi_per_ev_cell=2.20 pbc="T T T"
K 0.000 0.000 0.000
Cd 0.000 2.323 3.160
Cd 2.323 0.000 3.160
Hg 2.323 2.323 1.418
Hg 0.000 0.000 4.902

---

The relative energies come out as entry a 52; entry b 0, with values in meV per atom.

---

Entry a
4
Lattice="-0.696 3.033 0.475 0.035 -0.595 3.850 5.833 1.316 0.150" Properties=species:S:1:pos:R:3 comment="Li2CdHg | the Alexandria database | GGA-PBEsol | relaxed" rho_g_cm3=7.4 space_group="No. 25" dos_at_fermi_per_ev_cell=1.44 pbc="T T T"
Li 1.149 1.553 2.201
Li 5.757 1.299 0.148
Cd 2.802 0.632 0.072
Hg 4.212 2.244 2.280

---

Entry b
4
Lattice="-3.295 -2.194 -1.322 -0.108 -2.036 3.648 -0.790 4.949 0.345" Properties=species:S:1:pos:R:3 comment="Li2CdHg | the Alexandria database | GGA-PBEsol | relaxed" rho_g_cm3=7.7 space_group="No. 119" dos_at_fermi_per_ev_cell=1.24 pbc="T T T"
Hg -2.893 0.320 0.092
Li -1.300 0.399 2.578
Li -0.001 0.001 0.000
Cd -2.492 2.834 1.508

---

Entry c
4
Lattice="-1.276 1.546 2.569 2.023 -1.619 1.979 4.406 4.712 -0.648" Properties=species:S:1:pos:R:3 comment="Li2CdHg | the Alexandria database | GGA-PBEsol | relaxed" rho_g_cm3=7.9 space_group="No. 123" dos_at_fermi_per_ev_cell=1.15 pbc="T T T"
Li 1.136 1.215 -0.167
Li 3.270 3.497 -0.481
Cd 0.374 -0.037 2.274
Hg 2.576 2.319 1.950

---

The relative energies come out as entry a 79; entry b 5; entry c 0, with values in meV per atom.

---

Entry a
4
Lattice="3.350 0.000 0.000 0.000 3.350 0.000 0.000 0.000 6.417" Properties=species:S:1:pos:R:3 comment="Li2CdHg | the Alexandria database | GGA-PBEsol | relaxed" rho_g_cm3=7.5 space_group="No. 99" dos_at_fermi_per_ev_cell=1.44 pbc="T T T"
Cd 0.000 0.000 3.067
Li 1.675 1.675 1.571
Li 0.000 0.000 6.376
Hg 1.675 1.675 5.028

---

Entry b
4
Lattice="3.083 0.000 0.000 1.541 2.670 0.000 1.541 0.890 9.266" Properties=species:S:1:pos:R:3 comment="Li2CdHg | the Alexandria database | GGA-PBEsol | relaxed" rho_g_cm3=7.1 space_group="No. 166" dos_at_fermi_per_ev_cell=1.51 pbc="T T T"
Hg 0.000 0.000 0.000
Li 1.541 0.890 2.257
Li 4.624 2.670 7.009
Cd 3.083 1.780 4.633

---

Entry c
4
Lattice="4.661 0.000 0.000 2.331 4.037 0.000 2.331 1.346 3.806" Properties=species:S:1:pos:R:3 comment="Li2CdHg | the Alexandria database | GGA-PBEsol | relaxed" rho_g_cm3=7.6 space_group="No. 216" dos_at_fermi_per_ev_cell=1.02 pbc="T T T"
Hg 6.992 4.037 2.855
Li 0.000 0.000 0.000
Li 2.331 1.346 0.952
Cd 4.661 2.691 1.903

---

The relative energies come out as entry a 78; entry b 123; entry c 0, with values in meV per atom.